Below is a PBEsol-optimized structure of LiP3Pd, with properties calculated at the SCAN level.

Calculated values
As for the formation energy from the elements: 634 meV/atom.

Cell lengths 4.6811, 4.6811, 4.6811 Å; angles 90.00, 90.00, 90.00 degrees
Closest atoms and distances in Å follow each position.
Atoms (fractional coordinates):
Li (0.5000, 0.5000, 0.5000)  12 P 3.31
P (0.5000, 0.0000, 0.0000)  2 Pd 2.34
P (0.0000, 0.5000, 0.0000)  2 Pd 2.34
P (0.0000, 0.0000, 0.5000)  2 Pd 2.34
Pd (0.0000, 0.0000, 0.0000)  6 P 2.34